(1)
First-principles (PBE-GGA) data for a relaxed structure of LaEr2Pt, as listed in the Alexandria database.

Computed properties:
The value obtained for the energy of formation from the pure elements is -0.567 eV/atom. The calculation puts the magnetic moment at 0.0000 μB per atom. As for the energy above the most stable polymorph in this dataset: 134 meV/atom.

POSCAR file:
```
LaEr2Pt
1.0
-2.533 0.984 2.903
-1.242 -2.763 2.576
5.732 1.341 7.270
La Er Pt
1 2 1
direct
0.502 0.502 0.493 La
0.057 0.057 0.830 Er
0.275 0.275 0.174 Er
0.666 0.666 0.003 Pt
```

(2)
First-principles (PBE-GGA) data for a relaxed structure of LaErPt, as listed in the Alexandria database.

Computed properties:
The value obtained for the energy of formation from the pure elements is -0.925 eV/atom. The calculation puts the magnetic moment at 0.0000 μB per atom. As for the energy above the most stable polymorph in this dataset: 0 meV/atom.

POSCAR file:
```
LaErPt
1.0
7.052 0.000 0.000
0.000 7.168 0.000
0.000 0.000 13.401
Er La Pt
8 8 8
direct
0.001 0.754 0.969 Er
0.499 0.254 0.031 Er
0.999 0.246 0.031 Er
0.501 0.246 0.531 Er
0.999 0.746 0.469 Er
0.001 0.254 0.531 Er
0.501 0.746 0.969 Er
0.499 0.754 0.469 Er
0.267 0.098 0.805 La
0.267 0.598 0.695 La
0.733 0.902 0.195 La
0.733 0.402 0.305 La
0.233 0.598 0.195 La
0.767 0.902 0.695 La
0.233 0.098 0.305 La
0.767 0.402 0.805 La
0.742 0.541 0.597 Pt
0.242 0.959 0.597 Pt
0.742 0.041 0.903 Pt
0.758 0.541 0.097 Pt
0.242 0.459 0.903 Pt
0.258 0.959 0.097 Pt
0.758 0.041 0.403 Pt
0.258 0.459 0.403 Pt
```

(3)
First-principles (PBE-GGA) data for a relaxed structure of LaErSc2Pt2, as listed in the Alexandria database.

Computed properties:
The value obtained for the energy of formation from the pure elements is -0.774 eV/atom. The calculation puts the magnetic moment at 0.0000 μB per atom.

POSCAR file:
```
LaErSc2Pt2
1.0
4.773 0.000 0.000
-2.387 4.134 0.000
0.000 0.000 7.097
La Pt Sc Er
1 2 2 1
direct
0.000 0.000 0.000 La
0.333 0.667 0.280 Pt
0.667 0.333 0.720 Pt
0.333 0.667 0.704 Sc
0.667 0.333 0.296 Sc
0.000 0.000 0.500 Er
```

(4)
First-principles (PBE-GGA) data for a relaxed structure of La2ErSi3Pt4, as listed in the Alexandria database.

Computed properties:
The calculation puts the magnetic moment at 0.0000 μB per atom. The raw formation energy is -25.244 kcal/mol of atoms.

POSCAR file:
```
La2ErSi3Pt4
1.0
4.324 0.000 0.000
0.000 4.324 0.000
0.000 0.000 10.754
Pt Si La Er
4 3 2 1
direct
0.000 0.500 0.343 Pt
0.500 0.000 0.657 Pt
0.500 0.500 0.000 Pt
0.000 0.000 0.000 Pt
0.500 0.000 0.883 Si
0.000 0.500 0.117 Si
0.000 0.000 0.500 Si
0.500 0.000 0.231 La
0.000 0.500 0.769 La
0.500 0.500 0.500 Er
```

(5)
First-principles (PBE-GGA) data for a relaxed structure of La2ErSi3Pt12, as listed in the Alexandria database.

Computed properties:
The calculation puts the magnetic moment at 0.0000 μB per atom. The raw formation energy is -13.726 kcal/mol of atoms.

POSCAR file:
```
La2ErSi3Pt12
1.0
7.749 -0.316 -0.224
3.552 6.894 -0.224
3.552 2.067 6.581
Pt La Si Er
12 2 3 1
direct
0.099 0.651 0.651 Pt
0.349 0.349 0.901 Pt
0.349 0.901 0.349 Pt
0.858 0.397 0.858 Pt
0.397 0.858 0.858 Pt
0.651 0.651 0.099 Pt
0.651 0.099 0.651 Pt
0.901 0.349 0.349 Pt
0.142 0.142 0.603 Pt
0.858 0.858 0.397 Pt
0.142 0.603 0.142 Pt
0.603 0.142 0.142 Pt
0.602 0.602 0.602 La
0.398 0.398 0.398 La
0.000 0.500 0.000 Si
0.500 0.000 0.000 Si
0.000 0.000 0.500 Si
0.000 0.000 0.000 Er
```

(6)
First-principles (PBE-GGA) data for a relaxed structure of La6Er2Pu, as listed in the Alexandria database.

Computed properties:
The value obtained for the energy of formation from the pure elements is 0.061 eV/atom. The calculation puts the magnetic moment at 0.6559 μB per atom.

POSCAR file:
```
La6Er2Pu
1.0
6.995 -0.889 1.927
-0.120 9.713 4.904
-0.557 1.241 9.514
La Er Pu
12 4 2
direct
0.419 0.005 0.324 La
0.473 0.670 0.107 La
0.082 0.996 0.675 La
0.974 0.671 0.105 La
0.527 0.330 0.893 La
0.581 0.995 0.676 La
0.918 0.004 0.325 La
0.360 0.329 0.561 La
0.860 0.330 0.560 La
0.026 0.329 0.895 La
0.140 0.670 0.440 La
0.640 0.671 0.439 La
0.306 0.665 0.777 Er
0.694 0.335 0.223 Er
0.806 0.665 0.778 Er
0.194 0.335 0.222 Er
0.250 0.000 0.000 Pu
0.750 0.000 0.000 Pu
```

Which Fermi-level density of states belongs to each record? In order, 1.176, 1.092, 1.385, 0.640, 0.508, 2.117 states/eV per atom.